No. 1
SmErPdRh: relaxed, GGA-PBE.

```
SmErPdRh
1.0
0.0000 3.4894 3.4894
3.4894 0.0000 3.4894
3.4894 3.4894 0.0000
Sm Er Pd Rh
1 1 1 1
direct
0.0000 0.0000 0.0000
0.5000 0.5000 0.5000
0.2500 0.2500 0.2500
0.7500 0.7500 0.7500
```

Summary:
E_form	-322.5	kJ/mol of formula units
ΔE to the lowest computed polymorph	0.012	eV per atom
calculated total energy	-25.2	eV for the cell shown
total magnetization	0.00	μB per cell
DOS at the Fermi energy	2.256	states/eV per cell

---

No. 2
ErTePdRh: relaxed, GGA-PBE.

```
ErTePdRh
1.0
0.0000 3.3720 3.3720
3.3720 0.0000 3.3720
3.3720 3.3720 0.0000
Er Te Pd Rh
1 1 1 1
direct
0.0000 0.0000 0.0000
0.5000 0.5000 0.5000
0.7500 0.7500 0.7500
0.2500 0.2500 0.2500
```

Summary:
uncorrected formation energy	-686	meV/atom
calculated total energy	-23.0	eV for the cell shown
total magnetization	0.00	μB per cell
DOS at the Fermi energy	1.227	states/eV per cell